! CePaTi2 PBE optimized geometry; values from VASP
&SYSTEM
  ibrav = 0, nat = 16, ntyp = 3
/
ATOMIC_SPECIES
Ce 140.12 Ce.upf
Pa 231.04 Pa.upf
Ti 47.87 Ti.upf
CELL_PARAMETERS angstrom
7.084 0.000 0.000
0.000 7.084 0.000
0.000 0.000 7.084
ATOMIC_POSITIONS crystal
Ce 0.000 0.000 0.000
Ce 0.000 0.500 0.500
Ce 0.500 0.000 0.500
Ce 0.500 0.500 0.000
Pa 0.000 0.000 0.500
Pa 0.000 0.500 0.000
Pa 0.500 0.000 0.000
Pa 0.500 0.500 0.500
Ti 0.250 0.250 0.250
Ti 0.250 0.250 0.750
Ti 0.250 0.750 0.250
Ti 0.250 0.750 0.750
Ti 0.750 0.250 0.250
Ti 0.750 0.250 0.750
Ti 0.750 0.750 0.250
Ti 0.750 0.750 0.750
! Total DFT energy (no corrections)   -7.4993 eV per atom
! Formation enthalpy at 0 K   0.31 eV/atom
! Energy above the lowest structure with this stoichiometry   0.1144 eV per atom
! SG   Fm-3m (225)